(1)
## LiY2MgB (PBE)

Data for LiY2MgB after structural relaxation.

electronic total energy	-3.7037	eV/atom
D(E_F)	0.9839	states/eV/atom
V	25.80	A^3/atom
energy of formation	0.9191	eV per atom
total magnetic moment	0.000	μB/f.u.
crystal system	tetragonal

Structure (POSCAR):
```
LiY2MgB
1.0
5.563 0.000 0.000
0.000 4.168 0.000
0.000 0.000 5.563
Mg B Y Li
1 1 2 1
Direct
0.000 0.000 0.000 Mg
0.000 0.500 0.000 B
0.500 0.000 0.000 Y
0.000 0.000 0.500 Y
0.500 0.500 0.500 Li
```



(2)
## LiMgZn2B (PBE)

Data for LiMgZn2B after structural relaxation.

electronic total energy	-2.3547	eV/atom
D(E_F)	0.3161	states/eV/atom
V	15.92	A^3/atom
energy of formation	0.1921	eV per atom
total magnetic moment	0.000	μB/f.u.
crystal system	tetragonal

Structure (POSCAR):
```
LiMgZn2B
1.0
4.150 0.000 0.000
0.000 4.623 0.000
0.000 0.000 4.150
Zn Li Mg B
2 1 1 1
Direct
0.000 0.000 0.500 Zn
0.500 0.000 0.000 Zn
0.500 0.500 0.500 Li
0.000 0.500 0.000 Mg
0.000 0.000 0.000 B
```



(3)
## LiMg2ZrB (PBE)

Data for LiMg2ZrB after structural relaxation.

electronic total energy	-3.5380	eV/atom
D(E_F)	0.8360	states/eV/atom
V	17.91	A^3/atom
energy of formation	0.5277	eV per atom
total magnetic moment	0.000	μB/f.u.
crystal system	tetragonal

Structure (POSCAR):
```
LiMg2ZrB
1.0
4.536 0.000 0.000
0.000 4.352 0.000
0.000 0.000 4.536
Mg Li B Zr
2 1 1 1
Direct
0.500 0.000 0.000 Mg
0.000 0.000 0.500 Mg
0.000 0.500 0.000 Li
0.000 0.000 0.000 B
0.500 0.500 0.500 Zr
```



Question: What is the formula in the second record?
Answer: LiMgZn2B